[1]
PmSmEr6 | PBE-GGA | relaxed

* E_form: 0.250 eV per atom
* E: -4.3559 eV per atom

a = 7.007 Å, b = 7.007 Å, c = 7.007 Å
α = 110.34°, β = 110.34°, γ = 110.34°
Element x y z (fractional)
Pm (0.000, 0.000, 0.000)
Sm (0.500, 0.500, 0.500)
Er (0.250, 0.250, 0.749)
Er (0.250, 0.749, 0.250)
Er (0.251, 0.750, 0.750)
Er (0.749, 0.250, 0.250)
Er (0.750, 0.251, 0.750)
Er (0.750, 0.750, 0.251)

[2]
Tl3HgSe | PBE-GGA | relaxed

* E: -2.0881 eV per atom
* E_form (uncorrected): 0.44 eV/f.u.

a = 6.179 Å, b = 6.179 Å, c = 6.179 Å
α = 90.00°, β = 90.00°, γ = 90.00°
Element x y z (fractional)
Tl (0.000, 0.000, 0.500)
Tl (0.000, 0.500, 0.000)
Tl (0.500, 0.000, 0.000)
Hg (0.500, 0.500, 0.500)
Se (0.000, 0.000, 0.000)

[3]
KNaAg2Te2 | PBE-GGA | relaxed

* E: -2.9973 eV per atom
* E_form (uncorrected): -3.58 eV/f.u.

a = 4.806 Å, b = 4.806 Å, c = 8.877 Å
α = 90.00°, β = 90.00°, γ = 120.00°
Element x y z (fractional)
K (0.000, 0.000, 0.000)
Na (0.000, 0.000, 0.500)
Ag (0.333, 0.667, 0.699)
Ag (0.667, 0.333, 0.301)
Te (0.333, 0.667, 0.271)
Te (0.667, 0.333, 0.729)

[4]
BaNaPmCl6 | PBE-GGA | relaxed

* E: -4.3726 eV per atom
* E_form (uncorrected): -20.28 eV/f.u.

a = 7.205 Å, b = 7.205 Å, c = 13.289 Å
α = 90.00°, β = 90.00°, γ = 120.00°
Element x y z (fractional)
Ba (0.000, 0.000, 0.000)
Ba (0.000, 0.000, 0.500)
Na (0.333, 0.667, 0.250)
Na (0.667, 0.333, 0.750)
Pm (0.333, 0.667, 0.750)
Pm (0.667, 0.333, 0.250)
Cl (0.012, 0.361, 0.634)
Cl (0.012, 0.650, 0.866)
Cl (0.350, 0.361, 0.866)
Cl (0.350, 0.988, 0.634)
Cl (0.361, 0.012, 0.134)
Cl (0.361, 0.350, 0.366)
Cl (0.639, 0.650, 0.634)
Cl (0.639, 0.988, 0.866)
Cl (0.650, 0.012, 0.366)
Cl (0.650, 0.639, 0.134)
Cl (0.988, 0.350, 0.134)
Cl (0.988, 0.639, 0.366)

[5]
Rb3Co5Cl12 | PBE-GGA | relaxed

* E: -3.9460 eV per atom
* E_form (uncorrected): -18.33 eV/f.u.

a = 13.871 Å, b = 13.871 Å, c = 13.871 Å
α = 109.48°, β = 109.47°, γ = 109.46°
Element x y z (fractional)
Rb (0.125, 0.250, 0.375)
Rb (0.125, 0.375, 0.750)
Rb (0.250, 0.375, 0.125)
Rb (0.250, 0.875, 0.625)
Rb (0.375, 0.125, 0.250)
Rb (0.375, 0.750, 0.125)
Rb (0.625, 0.250, 0.875)
Rb (0.625, 0.875, 0.750)
Rb (0.750, 0.125, 0.375)
Rb (0.750, 0.625, 0.875)
Rb (0.875, 0.625, 0.250)
Rb (0.875, 0.750, 0.625)
Co (0.000, 0.000, 0.000)
Co (0.000, 0.000, 0.500)
Co (0.000, 0.500, 0.000)
Co (0.000, 0.500, 0.500)
Co (0.125, 0.750, 0.875)
Co (0.125, 0.875, 0.250)
Co (0.250, 0.125, 0.875)
Co (0.250, 0.625, 0.375)
Co (0.375, 0.250, 0.625)
Co (0.375, 0.625, 0.750)
Co (0.500, 0.000, 0.000)
Co (0.500, 0.000, 0.500)
Co (0.500, 0.500, 0.000)
Co (0.500, 0.500, 0.500)
Co (0.625, 0.375, 0.250)
Co (0.625, 0.750, 0.375)
Co (0.750, 0.375, 0.625)
Co (0.750, 0.875, 0.125)
Co (0.875, 0.125, 0.750)
Co (0.875, 0.250, 0.125)
Cl (0.007, 0.191, 0.105)
Cl (0.007, 0.316, 0.902)
Cl (0.086, 0.691, 0.684)
Cl (0.086, 0.895, 0.402)
Cl (0.098, 0.605, 0.414)
Cl (0.098, 0.993, 0.684)
Cl (0.104, 0.006, 0.191)
Cl (0.104, 0.598, 0.914)
Cl (0.184, 0.191, 0.586)
Cl (0.184, 0.494, 0.598)
Cl (0.191, 0.105, 0.007)
Cl (0.191, 0.586, 0.184)
Cl (0.309, 0.316, 0.914)
Cl (0.309, 0.493, 0.395)
Cl (0.316, 0.902, 0.006)
Cl (0.316, 0.914, 0.309)
Cl (0.396, 0.309, 0.494)
Cl (0.396, 0.586, 0.902)
Cl (0.402, 0.086, 0.895)
Cl (0.402, 0.816, 0.507)
Cl (0.414, 0.098, 0.605)
Cl (0.414, 0.816, 0.809)
Cl (0.493, 0.395, 0.309)
Cl (0.493, 0.598, 0.184)
Cl (0.507, 0.402, 0.816)
Cl (0.507, 0.605, 0.691)
Cl (0.586, 0.184, 0.191)
Cl (0.586, 0.902, 0.395)
Cl (0.598, 0.184, 0.493)
Cl (0.598, 0.914, 0.105)
Cl (0.604, 0.414, 0.098)
Cl (0.604, 0.691, 0.506)
Cl (0.684, 0.086, 0.691)
Cl (0.684, 0.098, 0.994)
Cl (0.691, 0.507, 0.605)
Cl (0.691, 0.684, 0.086)
Cl (0.809, 0.414, 0.816)
Cl (0.809, 0.895, 0.993)
Cl (0.816, 0.506, 0.402)
Cl (0.816, 0.809, 0.414)
Cl (0.896, 0.402, 0.086)
Cl (0.896, 0.994, 0.809)
Cl (0.902, 0.007, 0.316)
Cl (0.902, 0.395, 0.586)
Cl (0.914, 0.105, 0.598)
Cl (0.914, 0.309, 0.316)
Cl (0.993, 0.684, 0.098)
Cl (0.993, 0.809, 0.895)

[6]
Pr3ZnAu2 | PBE-GGA | relaxed

* E_form: -0.595 eV per atom
* E: -4.2900 eV per atom

a = 8.354 Å, b = 8.354 Å, c = 3.764 Å
α = 90.00°, β = 90.00°, γ = 143.32°
Element x y z (fractional)
Pr (0.000, 0.000, 0.000)
Pr (0.331, 0.669, 0.000)
Pr (0.669, 0.331, 0.000)
Zn (0.500, 0.500, 0.500)
Au (0.159, 0.841, 0.500)
Au (0.841, 0.159, 0.500)

[7]
RbPaHg2F6 | PBE-GGA | relaxed

* E: -5.1097 eV per atom
* E_form (uncorrected): -28.80 eV/f.u.

a = 7.171 Å, b = 7.171 Å, c = 7.171 Å
α = 60.00°, β = 60.00°, γ = 60.00°
Element x y z (fractional)
Rb (0.000, 0.000, 0.000)
Pa (0.500, 0.500, 0.500)
Hg (0.250, 0.250, 0.250)
Hg (0.750, 0.750, 0.750)
F (0.291, 0.291, 0.709)
F (0.291, 0.709, 0.291)
F (0.291, 0.709, 0.709)
F (0.709, 0.291, 0.291)
F (0.709, 0.291, 0.709)
F (0.709, 0.709, 0.291)

[8]
LiZnFe | PBE-GGA | relaxed

* E_form: 0.091 eV per atom
* E: -3.7929 eV per atom

a = 6.776 Å, b = 6.647 Å, c = 2.518 Å
α = 82.09°, β = 76.32°, γ = 21.60°
Element x y z (fractional)
Li (0.000, 0.000, 0.000)
Zn (0.325, 0.325, 0.675)
Fe (0.665, 0.665, 0.335)

[9]
Zr2InTe2 | PBE-GGA | relaxed

* E: -5.7761 eV per atom
* E_form (uncorrected): -2.76 eV/f.u.

a = 8.121 Å, b = 8.121 Å, c = 3.716 Å
α = 90.00°, β = 90.00°, γ = 90.00°
Element x y z (fractional)
Zr (0.147, 0.353, 0.000)
Zr (0.353, 0.853, 0.000)
Zr (0.647, 0.147, 0.000)
Zr (0.853, 0.647, 0.000)
In (0.000, 0.000, 0.000)
In (0.500, 0.500, 0.000)
Te (0.145, 0.645, 0.500)
Te (0.355, 0.145, 0.500)
Te (0.645, 0.855, 0.500)
Te (0.855, 0.355, 0.500)

[10]
GaPt | PBE-GGA | relaxed

* E_form: -0.649 eV per atom
* E: -5.1832 eV per atom

a = 4.970 Å, b = 4.970 Å, c = 4.970 Å
α = 90.00°, β = 90.00°, γ = 90.00°
Element x y z (fractional)
Ga (0.157, 0.343, 0.657)
Ga (0.343, 0.657, 0.157)
Ga (0.657, 0.157, 0.343)
Ga (0.843, 0.843, 0.843)
Pt (0.148, 0.148, 0.148)
Pt (0.352, 0.852, 0.648)
Pt (0.648, 0.352, 0.852)
Pt (0.852, 0.648, 0.352)

[11]
Dy2Ni12P3Ir | PBE-GGA | relaxed

* E_form: 0.026 eV per atom
* E: -5.7332 eV per atom

a = 7.112 Å, b = 7.112 Å, c = 7.112 Å
α = 64.40°, β = 64.40°, γ = 64.40°
Element x y z (fractional)
Dy (0.107, 0.107, 0.107)
Dy (0.893, 0.893, 0.893)
Ni (0.115, 0.631, 0.631)
Ni (0.155, 0.155, 0.603)
Ni (0.155, 0.603, 0.155)
Ni (0.369, 0.369, 0.885)
Ni (0.369, 0.885, 0.369)
Ni (0.397, 0.845, 0.845)
Ni (0.603, 0.155, 0.155)
Ni (0.631, 0.115, 0.631)
Ni (0.631, 0.631, 0.115)
Ni (0.845, 0.397, 0.845)
Ni (0.845, 0.845, 0.397)
Ni (0.885, 0.369, 0.369)
P (0.000, 0.500, 0.500)
P (0.500, 0.000, 0.500)
P (0.500, 0.500, 0.000)
Ir (0.500, 0.500, 0.500)

[12]
CdHg | PBE-GGA | relaxed

* E_form: 0.031 eV per atom
* E: -0.5772 eV per atom

a = 3.303 Å, b = 3.303 Å, c = 5.552 Å
α = 90.00°, β = 90.00°, γ = 126.15°
Element x y z (fractional)
Cd (0.000, 0.000, 0.000)
Hg (0.500, 0.500, 0.500)

What is the E in the ninth record? -5.7761 eV per atom

Among the records above, which one has the lowest E? Zr2InTe2

The lowest E belongs to which entry? Zr2InTe2